This record from Alexandria describes an optimized crystal structure of SiMoPtO2. The functional is GGA+U.

Computed properties:
- Crystal system: tetragonal
- Total DFT energy (no corrections): -31.52 eV per cell
- DOS at the Fermi energy: 1.3 states/eV/f.u.
- ρ: 7.266 g cm⁻³

a b c (Å): 3.759 3.759 5.678
angles (deg): 90.00 90.00 90.00
Element x y z (fractional)
Si: 0.000 0.000 0.000
Mo: 0.500 0.500 0.500
Pt: 0.500 0.500 0.000
O: 0.000 0.500 0.500
O: 0.500 0.000 0.500